DFT (GGA-PBE) results for an optimized crystal structure of MgInCl2.

Unit cell a=4.168 b=4.168 c=12.734 alpha=90.00 beta=90.00 gamma=90.00
Space group I-4m2 (No. 119)
One atom of each set of equivalent atoms:
Mg1 0.000 0.000 0.000
In1 0.000 0.500 0.250
Cl1 0.000 0.000 0.500
Cl2 0.000 0.500 0.750

Output
- raw total energy (eV/f.u.) = -10.6
- magnetic moment (μB/f.u.) = 0.0